Record 1
# CdSiNO (PBE, relaxed)
data_CdSiNO
_chemical_formula_sum 'Cd2 Si2 N2 O2'
_cell_length_a 2.8998
_cell_length_b 5.0738
_cell_length_c 7.0228
_cell_angle_alpha 90.00
_cell_angle_beta 90.00
_cell_angle_gamma 90.00
_symmetry_space_group_name_H-M 'P 1'
_symmetry_Int_Tables_number 1
loop_
_symmetry_equiv_pos_as_xyz
'x,y,z'
loop_
_atom_site_label
_atom_site_fract_x
_atom_site_fract_y
_atom_site_fract_z
Cd1 0.5000 0.9715 0.1381
Cd2 0.5000 0.4715 0.8619
N1 0.0000 0.8477 0.3944
N2 0.0000 0.3477 0.6056
O1 0.5000 0.4214 0.2802
O2 0.5000 0.9214 0.7198
Si1 0.0000 0.5134 0.3967
Si2 0.0000 0.0134 0.6033
# Offset from the most stable computed form ... 0.1380 eV/atom


Record 2
# SmCdNO (PBE, relaxed)
data_SmCdNO
_chemical_formula_sum 'Sm2 Cd2 N2 O2'
_cell_length_a 4.9964
_cell_length_b 4.9964
_cell_length_c 4.6977
_cell_angle_alpha 90.00
_cell_angle_beta 90.00
_cell_angle_gamma 90.00
_symmetry_space_group_name_H-M 'P 1'
_symmetry_Int_Tables_number 1
loop_
_symmetry_equiv_pos_as_xyz
'x,y,z'
loop_
_atom_site_label
_atom_site_fract_x
_atom_site_fract_y
_atom_site_fract_z
Cd1 0.2500 0.2500 0.0034
Cd2 0.7500 0.7500 0.9966
N1 0.7500 0.7500 0.4968
N2 0.2500 0.2500 0.5032
O1 0.7500 0.2500 0.0000
O2 0.2500 0.7500 0.0000
Sm1 0.7500 0.2500 0.5000
Sm2 0.2500 0.7500 0.5000
# Offset from the most stable computed form ... 0.0066 eV/atom